[1]
Entry from Alexandria: a relaxed structure of Pm6Sb3Ru (PBE).

Output
space-group type: No. 36
energy relative to the elements, uncorrected: -0.57 eV per atom
Fermi-level density of states: 0.94 states/eV/atom

a b c (Å): 9.3658 9.3658 7.6664
angles (deg): 90.00 90.00 103.64
Last column: nearest neighbours and their distance in Å.
Atoms (fractional coordinates):
1 Pm 0.0057 0.9943 0.5000  2 Ru 2.80-2.82
2 Pm 0.0983 0.5962 0.4230  1 Ru 2.79
3 Pm 0.2424 0.7576 0.9453  1 Ru 2.72
4 Pm 0.2981 0.3651 0.9224  4 Sb 3.11-3.22
5 Pm 0.3651 0.2981 0.4224  4 Sb 3.11-3.22
6 Pm 0.4038 0.9017 0.4230  1 Ru 2.79
7 Pm 0.5962 0.0983 0.9230  1 Ru 2.79
8 Pm 0.6349 0.7019 0.9224  4 Sb 3.11-3.22
9 Pm 0.7019 0.6349 0.4224  4 Sb 3.11-3.22
10 Pm 0.7576 0.2424 0.4453  1 Ru 2.72
11 Pm 0.9017 0.4038 0.9230  1 Ru 2.79
12 Pm 0.9943 0.0057 0.0000  2 Ru 2.80-2.82
13 Sb 0.0694 0.2942 0.2345  7 Pm 3.11-3.41
14 Sb 0.2942 0.0694 0.7345  7 Pm 3.11-3.41
15 Sb 0.3955 0.6045 0.6261  7 Pm 3.17-3.33
16 Sb 0.6045 0.3955 0.1261  7 Pm 3.17-3.33
17 Sb 0.7058 0.9306 0.2345  7 Pm 3.11-3.41
18 Sb 0.9306 0.7058 0.7345  7 Pm 3.11-3.41
19 Ru 0.1396 0.8604 0.2400  5 Pm 2.72-2.82
20 Ru 0.8604 0.1396 0.7400  5 Pm 2.72-2.82

=====

[2]
Entry from Alexandria: a relaxed structure of CdPCl2 (PBE).

Output
space-group type: No. 141
energy relative to the elements, uncorrected: -0.08 eV per atom
Fermi-level density of states: 0.45 states/eV/atom

a b c (Å): 7.5171 7.5171 7.5171
angles (deg): 96.42 96.42 140.93
Last column: nearest neighbours and their distance in Å.
Atoms (fractional coordinates):
1 Cd 0.3750 0.6250 0.7500  2 P 2.51
2 Cd 0.6250 0.3750 0.2500  2 P 2.51
3 P 0.1250 0.8750 0.2500  2 Cd 2.51, 4 Cl 2.58
4 P 0.8750 0.1250 0.7500  2 Cd 2.51, 4 Cl 2.58
5 Cl 0.0000 0.0000 0.0000  2 P 2.58
6 Cl 0.0000 0.0000 0.5000  2 P 2.58
7 Cl 0.0000 0.5000 0.0000  2 P 2.58
8 Cl 0.5000 0.0000 0.5000  2 P 2.58

=====

[3]
Entry from Alexandria: a relaxed structure of Er2SnPd9 (PBE).

Output
space-group type: No. 123
ΔE_f: -0.770 eV per atom
Fermi-level density of states: 0.42 states/eV/atom

a b c (Å): 4.0930 4.0930 12.1872
angles (deg): 90.00 90.00 90.00
Last column: nearest neighbours and their distance in Å.
Atoms (fractional coordinates):
1 Er 0.0000 0.0000 0.1678  12 Pd 2.89-2.92
2 Er 0.0000 0.0000 0.8322  12 Pd 2.89-2.92
3 Sn 0.0000 0.0000 0.5000  12 Pd 2.84-2.89
4 Pd 0.0000 0.5000 0.0000  4 Er 2.89, 8 Pd 2.89-2.91
5 Pd 0.0000 0.5000 0.3386  2 Sn 2.84, 8 Pd 2.84-2.90, 2 Er 2.92
6 Pd 0.0000 0.5000 0.6614  2 Sn 2.84, 8 Pd 2.84-2.90, 2 Er 2.92
7 Pd 0.5000 0.0000 0.0000  4 Er 2.89, 8 Pd 2.89-2.91
8 Pd 0.5000 0.0000 0.3386  2 Sn 2.84, 8 Pd 2.84-2.90, 2 Er 2.92
9 Pd 0.5000 0.0000 0.6614  2 Sn 2.84, 8 Pd 2.84-2.90, 2 Er 2.92
10 Pd 0.5000 0.5000 0.1698  4 Er 2.89, 8 Pd 2.90-2.91
11 Pd 0.5000 0.5000 0.5000  8 Pd 2.84, 4 Sn 2.89
12 Pd 0.5000 0.5000 0.8302  4 Er 2.89, 8 Pd 2.90-2.91

=====

[4]
Entry from Alexandria: a relaxed structure of NdZr2Os (PBE).

Output
space-group type: No. 123
ΔE_f: -0.125 eV per atom
Fermi-level density of states: 1.07 states/eV/atom

a b c (Å): 3.3303 3.3303 8.1958
angles (deg): 90.00 90.00 90.00
Last column: nearest neighbours and their distance in Å.
Atoms (fractional coordinates):
1 Nd 0.0000 0.0000 0.0000  4 Nd 3.33, 8 Zr 3.44
2 Zr 0.5000 0.5000 0.3059  4 Os 2.84, 1 Zr 3.18
3 Zr 0.5000 0.5000 0.6941  4 Os 2.84, 1 Zr 3.18
4 Os 0.0000 0.0000 0.5000  8 Zr 2.84

=====

[5]
Entry from Alexandria: a relaxed structure of Tb2Cd3Hg4 (PBE).

Output
space-group type: No. 64
ΔE_f: -0.202 eV per atom
Fermi-level density of states: 0.73 states/eV/atom

a b c (Å): 9.0574 9.0574 8.3700
angles (deg): 90.00 90.00 139.84
Last column: nearest neighbours and their distance in Å.
Atoms (fractional coordinates):
1 Tb 0.1014 0.8986 0.9058  7 Hg 3.28-3.40, 4 Cd 3.52-3.64
2 Tb 0.3986 0.6014 0.4058  7 Hg 3.28-3.40, 4 Cd 3.52-3.64
3 Tb 0.6014 0.3986 0.5942  7 Hg 3.28-3.40, 4 Cd 3.52-3.64
4 Tb 0.8986 0.1014 0.0942  7 Hg 3.28-3.40, 4 Cd 3.52-3.64
5 Cd 0.0000 0.0000 0.5000  6 Hg 2.79-2.90
6 Cd 0.0204 0.4796 0.7500  5 Hg 2.91-3.05, 2 Cd 3.11
7 Cd 0.4796 0.0204 0.2500  5 Hg 2.91-3.05, 2 Cd 3.11
8 Cd 0.5000 0.5000 0.0000  6 Hg 2.79-2.90
9 Cd 0.5204 0.9796 0.7500  5 Hg 2.91-3.05, 2 Cd 3.11
10 Cd 0.9796 0.5204 0.2500  5 Hg 2.91-3.05, 2 Cd 3.11
11 Hg 0.1695 0.8305 0.5390  5 Cd 2.90-3.05
12 Hg 0.1911 0.3089 0.7500  3 Cd 2.79-2.91, 2 Hg 3.11
13 Hg 0.3089 0.1911 0.2500  3 Cd 2.79-2.91, 2 Hg 3.11
14 Hg 0.3305 0.6695 0.0390  5 Cd 2.90-3.05
15 Hg 0.6695 0.3305 0.9610  5 Cd 2.90-3.05
16 Hg 0.6911 0.8089 0.7500  3 Cd 2.79-2.91, 2 Hg 3.11
17 Hg 0.8089 0.6911 0.2500  3 Cd 2.79-2.91, 2 Hg 3.11
18 Hg 0.8305 0.1695 0.4610  5 Cd 2.90-3.05

=====

[6]
Entry from Alexandria: a relaxed structure of KPd2Au2 (PBE).

Output
space-group type: No. 127
ΔE_f: -0.122 eV per atom
Fermi-level density of states: 0.43 states/eV/atom

a b c (Å): 8.3334 8.3334 2.8491
angles (deg): 90.00 90.00 90.00
Last column: nearest neighbours and their distance in Å.
Atoms (fractional coordinates):
1 K 0.0000 0.0000 0.0000  2 K 2.85
2 K 0.5000 0.5000 0.0000  2 K 2.85
3 Pd 0.1193 0.3807 0.0000  6 Au 2.81-2.87, 3 Pd 2.81-2.85
4 Pd 0.3807 0.8807 0.0000  6 Au 2.81-2.87, 3 Pd 2.81-2.85
5 Pd 0.6193 0.1193 0.0000  6 Au 2.81-2.87, 3 Pd 2.81-2.85
6 Pd 0.8807 0.6193 0.0000  6 Au 2.81-2.87, 3 Pd 2.81-2.85
7 Au 0.1750 0.6750 0.5000  6 Pd 2.81-2.87, 2 Au 2.85
8 Au 0.3250 0.1750 0.5000  6 Pd 2.81-2.87, 2 Au 2.85
9 Au 0.6750 0.8250 0.5000  6 Pd 2.81-2.87, 2 Au 2.85
10 Au 0.8250 0.3250 0.5000  6 Pd 2.81-2.87, 2 Au 2.85

=====

[7]
Entry from Alexandria: a relaxed structure of Li2HgOs (PBE).

Output
space-group type: No. 12
ΔE_f: 0.225 eV per atom
Fermi-level density of states: 0.24 states/eV/atom

a b c (Å): 4.8067 4.8067 4.9949
angles (deg): 98.16 98.16 33.34
Last column: nearest neighbours and their distance in Å.
Atoms (fractional coordinates):
1 Li 0.2483 0.2483 0.2175  4 Li 2.58-2.76, 3 Os 2.70-2.75, 3 Hg 2.86-2.88
2 Li 0.7517 0.7517 0.7825  4 Li 2.58-2.76, 3 Os 2.70-2.75, 3 Hg 2.86-2.88
3 Hg 0.0000 0.0000 0.5000  2 Hg 2.76, 4 Os 2.85, 6 Li 2.86-2.88
4 Os 0.5000 0.5000 0.0000  6 Li 2.70-2.75, 2 Os 2.76, 4 Hg 2.85

=====

[8]
Entry from Alexandria: a relaxed structure of TiS3F (PBE).

Output
space-group type: No. 221
energy relative to the elements, uncorrected: 0.46 eV per atom
Fermi-level density of states: 1.78 states/eV/atom

a b c (Å): 4.3120 4.3120 4.3120
angles (deg): 90.00 90.00 90.00
Last column: nearest neighbours and their distance in Å.
Atoms (fractional coordinates):
1 Ti 0.0000 0.0000 0.0000  12 S 3.05
2 S 0.0000 0.5000 0.5000  2 F 2.16
3 S 0.5000 0.0000 0.5000  2 F 2.16
4 S 0.5000 0.5000 0.0000  2 F 2.16
5 F 0.5000 0.5000 0.5000  6 S 2.16

=====

[9]
Entry from Alexandria: a relaxed structure of EuGa2Br4 (PBE).

Output
space-group type: No. 139
energy relative to the elements, uncorrected: -1.07 eV per atom

a b c (Å): 8.5186 8.5186 8.5186
angles (deg): 138.45 138.45 60.22
Last column: nearest neighbours and their distance in Å.
Atoms (fractional coordinates):
1 Eu 0.0000 0.0000 0.0000  6 Br 2.96-3.02
2 Ga 0.3812 0.3812 0.0000  1 Br 2.66
3 Ga 0.6188 0.6188 0.0000  1 Br 2.66
4 Br 0.0000 0.5000 0.5000  2 Eu 3.02
5 Br 0.2009 0.2009 0.0000  1 Ga 2.66, 1 Eu 2.96
6 Br 0.5000 0.0000 0.5000  2 Eu 3.02
7 Br 0.7991 0.7991 0.0000  1 Ga 2.66, 1 Eu 2.96

=====

[10]
Entry from Alexandria: a relaxed structure of Cs3Tc2O8 (PBE).

Output
space-group type: No. 166
energy relative to the elements, uncorrected: -1.72 eV per atom
Fermi-level density of states: 0.62 states/eV/atom

a b c (Å): 8.7721 8.7721 8.7721
angles (deg): 43.82 43.82 43.82
Last column: nearest neighbours and their distance in Å.
Atoms (fractional coordinates):
1 Cs 0.0000 0.0000 0.0000  6 O 3.15
2 Cs 0.2028 0.2028 0.2028  10 O 3.08-3.37
3 Cs 0.7972 0.7972 0.7972  10 O 3.08-3.37
4 Tc 0.4069 0.4069 0.4069  4 O 1.76-1.77
5 Tc 0.5931 0.5931 0.5931  4 O 1.76-1.77
6 O 0.2738 0.7153 0.7153  1 Tc 1.77
7 O 0.2847 0.2847 0.7262  1 Tc 1.77
8 O 0.2847 0.7262 0.2847  1 Tc 1.77
9 O 0.3327 0.3327 0.3327  1 Tc 1.76
10 O 0.6673 0.6673 0.6673  1 Tc 1.76
11 O 0.7153 0.2738 0.7153  1 Tc 1.77
12 O 0.7153 0.7153 0.2738  1 Tc 1.77
13 O 0.7262 0.2847 0.2847  1 Tc 1.77

=====

Summary of total energy in eV/f.u.
-55.89; -10.33; -69.11; -33.59; -15.03; -18.65; -14.46; -19.87; -30.54; -85.33
(order as listed above)